No. 1
DFT (SCAN) results for a PBEsol-optimized structure of BeWCl2.

Cell: 2.873 4.491 4.491 Å, 102.73 90.00 90.00°
Fractional positions:
Be: 0.500 0.500 0.500
Cl: 0.000 0.500 0.000
Cl: 0.000 0.000 0.500
W: 0.500 0.000 0.000

Calculated values
- total moment (Bohr magnetons per cell) = 0.00
- energy above the lowest structure with this stoichiometry (kJ/mol of formula units) = 532.0
- formation energy without anion corrections (meV/atom) = 1220


No. 2
DFT (SCAN) results for a PBEsol-optimized structure of CrRuI3.

Cell: 5.388 5.388 5.388 Å, 90.00 90.00 90.00°
Each line ends with the local moment (μB).
Fractional positions:
Cr: 0.000 0.000 0.000  3.72
I: 0.000 0.000 0.500  -0.03
I: 0.000 0.500 0.000  -0.03
I: 0.500 0.000 0.000  -0.03
Ru: 0.500 0.500 0.500  2.68

Calculated values
- total moment (Bohr magnetons per cell) = 6.97
- formation energy without anion corrections (meV/atom) = 636


Number 1: raw total energy -0.7820 Ha/atom. Number 2: raw total energy -1.1778 Ha/atom.